[1]
Material: Sm7Cd2Co2
Method: DFT, PBE
State: relaxed

Properties
The energy of formation from the pure elements is -0.088 eV per atom.

a b c (Å): 6.840 7.199 6.840
angles (deg): 90.00 109.66 90.00
Sites, in units of the cell vectors:
Sm 0.500 0.767 0.500
Co 0.293 0.000 0.707
Sm 0.500 0.233 0.500
Sm 0.000 0.756 0.500
Cd 0.176 0.500 0.176
Sm 0.500 0.756 0.000
Cd 0.824 0.500 0.824
Sm 0.000 0.244 0.500
Sm 0.000 0.000 0.000
Sm 0.500 0.244 0.000
Co 0.707 0.000 0.293

[2]
Material: LaGe4Pb
Method: DFT, PBE
State: relaxed

Properties
The energy of formation from the pure elements is -0.194 eV per atom.

a b c (Å): 5.787 5.787 5.787
angles (deg): 60.00 60.00 60.00
Sites, in units of the cell vectors:
Ge 0.623 0.130 0.623
Ge 0.623 0.623 0.130
Pb 0.250 0.250 0.250
Ge 0.130 0.623 0.623
La 0.000 0.000 0.000
Ge 0.623 0.623 0.623